A plane-wave DFT calculation with PBE-GGA was carried out for Sr2ScTcSe6 after structural relaxation.

abc: 6.762 6.782 7.241
angles: 117.64 117.63 90.01
Space group P-1 (No. 2)
One atom of each set of equivalent atoms:
Sr (0.249, 0.254, 0.000) (multiplicity 2)
Sc (0.500, 0.000, 0.500) (multiplicity 1)
Tc (0.000, 0.500, 0.500) (multiplicity 1)
Se (0.151, 0.161, 0.496) (multiplicity 2)
Se (0.240, 0.736, 0.981) (multiplicity 2)
Se (0.339, 0.656, 0.503) (multiplicity 2)

As for the total energy: -5.26 eV per atom.

---

A plane-wave DFT calculation with PBE-GGA was carried out for ScTc2Se4 after structural relaxation.

abc: 10.801 10.801 10.801
angles: 90.00 90.00 90.00
Space group Fd-3m (No. 227, origin choice 2)
One atom of each set of equivalent atoms:
Sc (0.125, 0.125, 0.125) (multiplicity 8)
Tc (0.000, 0.000, 0.500) (multiplicity 16)
Se (0.013, 0.013, 0.737) (multiplicity 32)

As for the total energy: -6.25 eV per atom.

---

A plane-wave DFT calculation with PBE-GGA was carried out for Sc3TcSe after structural relaxation.

abc: 10.502 5.049 8.423
angles: 90.00 112.86 90.00
Space group C2/m (No. 12)
One atom of each set of equivalent atoms:
Sc (0.082, 0.000, 0.339) (multiplicity 4)
Sc (0.137, 0.500, 0.764) (multiplicity 4)
Sc (0.155, 0.500, 0.133) (multiplicity 4)
Tc (0.111, 0.000, 0.970) (multiplicity 4)
Se (0.139, 0.500, 0.441) (multiplicity 4)

As for the total energy: -7.25 eV per atom.

---

A plane-wave DFT calculation with PBE-GGA was carried out for Sc2ZnSe4 after structural relaxation.

abc: 11.069 11.069 11.069
angles: 90.00 90.00 90.00
Space group Fd-3m (No. 227, origin choice 2)
One atom of each set of equivalent atoms:
Sc (0.000, 0.000, 0.000) (multiplicity 16)
Zn (0.125, 0.125, 0.625) (multiplicity 8)
Se (0.005, 0.005, 0.245) (multiplicity 32)

As for the total energy: -5.39 eV per atom.

---

A plane-wave DFT calculation with PBE-GGA was carried out for SmScSi after structural relaxation.

abc: 6.841 6.841 6.841
angles: 90.00 90.00 90.00
Space group F-43m (No. 216)
One atom of each set of equivalent atoms:
Sm (0.000, 0.000, 0.000) (multiplicity 4)
Sc (0.250, 0.250, 0.750) (multiplicity 4)
Si (0.250, 0.250, 0.250) (multiplicity 4)

As for the total energy: -5.04 eV per atom. The distance to the lowest polymorph of the same formula comes out at 909 meV/atom.

---

A plane-wave DFT calculation with PBE-GGA was carried out for ScTa2Si after structural relaxation.

abc: 6.534 6.534 6.534
angles: 90.00 90.00 90.00
Space group F-43m (No. 216)
One atom of each set of equivalent atoms:
Sc (0.000, 0.000, 0.000) (multiplicity 4)
Ta (0.000, 0.000, 0.500) (multiplicity 4)
Ta (0.250, 0.250, 0.250) (multiplicity 4)
Si (0.250, 0.250, 0.750) (multiplicity 4)

As for the total energy: -8.96 eV per atom.

---

A plane-wave DFT calculation with PBE-GGA was carried out for Sc2TaSi after structural relaxation.

abc: 6.617 6.617 6.617
angles: 90.00 90.00 90.00
Space group F-43m (No. 216)
One atom of each set of equivalent atoms:
Sc (0.000, 0.000, 0.000) (multiplicity 4)
Sc (0.250, 0.250, 0.250) (multiplicity 4)
Ta (0.250, 0.250, 0.750) (multiplicity 4)
Si (0.000, 0.000, 0.500) (multiplicity 4)

As for the total energy: -7.50 eV per atom.

---

A plane-wave DFT calculation with PBE-GGA was carried out for Sc2SiTc after structural relaxation.

abc: 6.409 6.409 6.409
angles: 90.00 90.00 90.00
Space group F-43m (No. 216)
One atom of each set of equivalent atoms:
Sc (0.000, 0.000, 0.000) (multiplicity 4)
Sc (0.250, 0.250, 0.250) (multiplicity 4)
Si (0.000, 0.000, 0.500) (multiplicity 4)
Tc (0.250, 0.250, 0.750) (multiplicity 4)

As for the total energy: -7.47 eV per atom.